The following is a DFT calculation (PBE) of a relaxed KTe2O6 crystal.

The calculation puts the formation energy from raw total energies at -1.1533 eV per atom. The density is 4.74 g/cm³.

Cell and atoms, written as POSCAR:
```
KTe2O6
1.0
-1.193 0.043 7.215
-0.062 -6.314 3.689
11.204 -0.845 5.118
Te O K
8 24 4
Direct
0.261 0.261 0.261
0.500 0.000 0.500
0.500 0.000 0.000
0.000 0.000 0.500
0.739 0.739 0.739
0.000 0.500 0.500
0.000 0.500 0.000
0.500 0.500 0.000
0.552 0.987 0.841
0.524 0.144 0.344
0.604 0.220 0.958
0.202 0.202 0.981
0.448 0.013 0.159
0.798 0.798 0.019
0.740 0.740 0.443
0.396 0.780 0.042
0.583 0.583 0.839
0.856 0.476 0.656
0.780 0.396 0.042
0.011 0.011 0.348
0.476 0.856 0.656
0.681 0.088 0.541
0.912 0.319 0.459
0.987 0.552 0.841
0.417 0.417 0.161
0.088 0.681 0.541
0.989 0.989 0.652
0.260 0.260 0.557
0.220 0.604 0.958
0.144 0.524 0.344
0.013 0.448 0.159
0.319 0.912 0.459
0.913 0.913 0.194
0.556 0.556 0.315
0.444 0.444 0.685
0.087 0.087 0.806
```

The following is a DFT calculation (PBE) of a relaxed KRb2NiI crystal.

The calculation puts the formation energy from raw total energies at 0.0119 eV per atom. Its density of states at the Fermi level is 2.78 states/eV per cell. The density is 2.47 g/cm³.

Cell and atoms, written as POSCAR:
```
KRb2NiI
1.0
-1.959 7.010 -1.237
-2.481 -1.392 -3.956
-6.045 -0.961 4.128
I Rb K Ni
1 2 1 1
Direct
0.000 0.000 0.000
0.500 0.000 0.000
0.000 0.000 0.500
0.500 0.500 0.500
0.000 0.500 0.000
```

The following is a DFT calculation (PBE) of a relaxed CsBF2 crystal.

The calculation puts the formation energy from raw total energies at -1.0106 eV per atom. Its density of states at the Fermi level is 0.00 states/eV per cell. The density is 2.67 g/cm³.

Cell and atoms, written as POSCAR:
```
CsBF2
1.0
-1.297 -4.295 5.356
1.185 -0.861 6.832
-3.224 -0.330 6.190
B F Cs
1 2 1
Direct
0.000 0.000 0.000
0.915 0.915 0.915
0.085 0.085 0.085
0.500 0.500 0.500
```

The following is a DFT calculation (PBE) of a relaxed YCd2CoCl crystal.

The calculation puts the formation energy from raw total energies at 0.1277 eV per atom. Its density of states at the Fermi level is 6.49 states/eV per cell. The density is 5.80 g/cm³.

Cell and atoms, written as POSCAR:
```
YCd2CoCl
1.0
-4.262 -0.272 -2.968
0.605 -4.253 -0.479
-2.890 -0.887 4.232
Y Cd Co Cl
1 2 1 1
Direct
0.500 0.500 0.500
0.500 0.000 0.000
0.000 0.000 0.500
0.000 0.000 0.000
0.000 0.500 0.000
```

The following is a DFT calculation (PBE) of a relaxed CaErSn2 crystal.

Its density of states at the Fermi level is 3.03 states/eV per cell. The formation energy comes out at -566 meV/atom. The density is 6.84 g/cm³.

Cell and atoms, written as POSCAR:
```
CaErSn2
1.0
4.377 0.000 0.000
0.000 4.966 0.000
0.000 0.000 4.966
Sn Ca Er
2 1 1
Direct
0.000 0.000 0.500
0.000 0.500 0.000
0.500 0.000 0.000
0.500 0.500 0.500
```

The following is a DFT calculation (PBE) of a relaxed Pm3Sb4Pd7 crystal.

The calculation puts the formation energy from raw total energies at -0.8671 eV per atom. Its density of states at the Fermi level is 7.40 states/eV per cell. The density is 9.41 g/cm³.

Cell and atoms, written as POSCAR:
```
Pm3Sb4Pd7
1.0
-0.755 4.349 -0.566
-6.194 1.934 5.616
3.485 3.780 6.900
Pd Sb Pm
7 4 3
Direct
0.690 0.156 0.464
0.000 0.000 0.000
0.495 0.216 0.793
0.142 0.626 0.091
0.505 0.784 0.207
0.310 0.844 0.536
0.858 0.374 0.909
0.113 0.109 0.665
0.666 0.449 0.218
0.887 0.891 0.335
0.334 0.551 0.782
0.675 0.815 0.836
0.000 0.500 0.500
0.325 0.185 0.164
```